Record 1
A relaxed structure of HgSb, computed with PBE-GGA.

Calculated values
**SG**: No. 194
**Formation energy (no corrections)**: 0.23 eV per atom
**Calculated volume**: 28.22 A^3/atom
**DOS at the Fermi energy**: 0.8 states/eV/f.u.

POSCAR file:
```
HgSb
1.0
4.397 0.000 0.000
-2.199 3.808 0.000
0.000 0.000 6.740
Sb Hg
2 2
Cartesian
2.199 1.269 5.055
0.000 2.539 1.685
0.000 0.000 0.000
0.000 0.000 3.370
```

=====

Record 2
A relaxed structure of SrTcRu2, computed with PBE-GGA.

Calculated values
**SG**: No. 123
**Calculated volume**: 17.42 A^3/atom
**DOS at the Fermi energy**: 5.1 states/eV/f.u.
**Formation energy**: 0.864 eV/atom

POSCAR file:
```
SrTcRu2
1.0
-0.626 4.728 0.440
-0.727 0.341 -4.722
-2.975 -0.433 0.427
Sr Tc Ru
1 1 2
Cartesian
-1.800 2.147 0.433
-1.851 -0.046 -2.148
0.000 0.000 0.000
-0.676 2.535 -2.141
```

=====

Record 3
A relaxed structure of EuSn6, computed with PBE-GGA.

Calculated values
**SG**: No. 229
**Calculated volume**: 38.42 A^3/atom
**DOS at the Fermi energy**: 3.9 states/eV/f.u.
**Formation energy**: 0.096 eV/atom

POSCAR file:
```
EuSn6
1.0
-2.550 -6.354 -1.652
6.890 -0.518 1.364
-3.341 2.464 5.690
Sn Eu
6 1
Cartesian
-1.860 -3.663 1.947
-2.058 -1.458 3.782
2.860 -0.745 3.455
0.302 0.001 4.536
0.697 -4.408 0.865
3.057 -2.949 1.619
0.000 0.000 0.000
```

=====

Record 4
A relaxed structure of TaMn2As, computed with PBE-GGA.

Calculated values
**SG**: No. 216
**Calculated volume**: 14.55 A^3/atom
**DOS at the Fermi energy**: 3.2 states/eV/f.u.
**Formation energy**: 0.111 eV/atom

POSCAR file:
```
TaMn2As
1.0
4.350 0.000 0.000
2.175 3.767 0.000
2.175 1.256 3.552
As Ta Mn
1 1 2
Cartesian
4.350 2.511 1.776
6.525 3.767 2.664
2.175 1.256 0.888
0.000 0.000 0.000
```

=====

Q: The lowest calculated volume belongs to which entry?
A: TaMn2As